KMn2Si | PBE | optimized geometry

a = 2.7230 Å, b = 2.7230 Å, c = 28.8437 Å
α = 90.00°, β = 90.00°, γ = 120.00°
With the nearest neighbours (Å) after each atom.
Space group R-3m (No. 166, hexagonal axes)
One atom of each set of equivalent atoms:
K (0.0000, 0.0000, 0.0000) (multiplicity 3)  6 K 2.72
Mn (0.0000, 0.0000, 0.2314) (multiplicity 6)  3 Si 2.44, 6 Mn 2.72
Si (0.0000, 0.0000, 0.5000) (multiplicity 3)  6 Mn 2.44, 6 Si 2.72

The calculation puts the magnetic moment at 6.88 Bohr magnetons per cell. The value obtained for the uncorrected formation energy is 775 meV/atom.


KMn3Si | PBE | optimized geometry

a = 4.7705 Å, b = 4.7705 Å, c = 4.7705 Å
α = 90.00°, β = 90.00°, γ = 90.00°
With the nearest neighbours (Å) after each atom.
Space group Pm-3m (No. 221)
One atom of each set of equivalent atoms:
K (0.0000, 0.0000, 0.0000) (multiplicity 1)  6 Mn 2.39
Mn (0.0000, 0.0000, 0.5000) (multiplicity 3)  2 K 2.39
Si (0.5000, 0.5000, 0.5000) (multiplicity 1)  12 Mn 3.37

The calculation puts the magnetic moment at 11.72 Bohr magnetons per cell. The value obtained for the uncorrected formation energy is 2303 meV/atom.


KMn2Si | PBE | optimized geometry

a = 4.3387 Å, b = 4.3387 Å, c = 8.4166 Å
α = 90.00°, β = 90.00°, γ = 90.00°
With the nearest neighbours (Å) after each atom.
Space group I-4m2 (No. 119)
One atom of each set of equivalent atoms:
K (0.0000, 0.0000, 0.0000) (multiplicity 2)  8 Mn 3.02-3.07, 4 Si 3.02
Mn (0.0000, 0.0000, 0.5000) (multiplicity 2)  4 Mn 3.02, 4 Si 3.02, 4 K 3.07
Mn (0.0000, 0.5000, 0.7500) (multiplicity 2)  4 Mn 3.02, 4 K 3.02, 4 Si 3.07
Si (0.0000, 0.5000, 0.2500) (multiplicity 2)  4 K 3.02, 8 Mn 3.02-3.07

The calculation puts the magnetic moment at 15.89 Bohr magnetons per cell. The value obtained for the uncorrected formation energy is 968 meV/atom.


KMn2Si | PBE | optimized geometry

a = 5.3400 Å, b = 5.3400 Å, c = 16.1701 Å
α = 90.00°, β = 90.00°, γ = 90.00°
With the nearest neighbours (Å) after each atom.
Space group I4_1/amd (No. 141, origin choice 2)
One atom of each set of equivalent atoms:
K (0.0000, 0.2500, 0.3750) (multiplicity 4)  8 Mn 3.61, 4 Si 3.78
Mn (0.0000, 0.0000, 0.0000) (multiplicity 8)  2 Si 2.42, 2 Mn 2.67
Si (0.0000, 0.2500, 0.8750) (multiplicity 4)  4 Mn 2.42

The calculation puts the magnetic moment at 31.28 Bohr magnetons per cell. The value obtained for the uncorrected formation energy is 681 meV/atom.